[1]
Entry from Alexandria: a relaxed Sc2MnB2 crystal (GGA-PBE).

```
data_Sc2MnB2
_chemical_formula_sum 'Sc4 Mn2 B4'
_cell_length_a 6.005
_cell_length_b 6.005
_cell_length_c 3.583
_cell_angle_alpha 90.00
_cell_angle_beta 90.00
_cell_angle_gamma 90.00
_symmetry_space_group_name_H-M 'P 4/m b m'
_symmetry_Int_Tables_number 127
_symmetry_space_group_name_Hall '-P 4 2ab'
loop_
_atom_site_label
_atom_site_type_symbol
_atom_site_fract_x
_atom_site_fract_y
_atom_site_fract_z
Sc1 Sc 0.182 0.318 0.000
Mn1 Mn 0.000 0.000 0.500
B1 B 0.104 0.604 0.500
```

Output
Its volume is 12.92 A^3/atom. The calculation puts the magnetization at 0.48 μB/atom. As for the density of states at the Fermi level: 0.80 states/eV/atom.

[2]
Entry from Alexandria: a relaxed ScMn10B2 crystal (GGA-PBE).

```
data_ScMn10B2
_chemical_formula_sum 'Sc4 Mn40 B8'
_cell_length_a 7.981
_cell_length_b 8.966
_cell_length_c 7.751
_cell_angle_alpha 90.00
_cell_angle_beta 90.00
_cell_angle_gamma 90.00
_symmetry_space_group_name_H-M 'C m c m'
_symmetry_Int_Tables_number 63
_symmetry_space_group_name_Hall '-C 2c 2'
loop_
_atom_site_label
_atom_site_type_symbol
_atom_site_fract_x
_atom_site_fract_y
_atom_site_fract_z
Sc1 Sc 0.000 0.119 0.250
Mn1 Mn 0.000 0.174 0.594
Mn2 Mn 0.000 0.383 0.062
Mn3 Mn 0.138 0.389 0.750
Mn4 Mn 0.219 0.000 0.000
Mn5 Mn 0.248 0.364 0.250
B1 B 0.250 0.250 0.000
```

Output
Its volume is 10.67 A^3/atom. The calculation puts the magnetization at 0.00 μB/atom. As for the density of states at the Fermi level: 1.14 states/eV/atom.

[3]
Entry from Alexandria: a relaxed ScMnB crystal (GGA-PBE).

```
data_ScMnB
_chemical_formula_sum 'Sc2 Mn2 B2'
_cell_length_a 3.393
_cell_length_b 3.393
_cell_length_c 6.656
_cell_angle_alpha 90.00
_cell_angle_beta 90.00
_cell_angle_gamma 90.00
_symmetry_space_group_name_H-M 'P 4/n m m'
_symmetry_Int_Tables_number 129
loop_
_symmetry_equiv_pos_as_xyz
'x,y,z'
'-x,-y,-z'
'-y+1/2,x,z'
'y+1/2,-x,-z'
'-x+1/2,-y+1/2,z'
'x+1/2,y+1/2,-z'
'y,-x+1/2,z'
'-y,x+1/2,-z'
'x+1/2,-y,-z'
'-x+1/2,y,z'
'-y,-x,-z'
'y,x,z'
'-x,y+1/2,-z'
'x,-y+1/2,z'
'y+1/2,x+1/2,-z'
'-y+1/2,-x+1/2,z'
loop_
_atom_site_label
_atom_site_type_symbol
_atom_site_fract_x
_atom_site_fract_y
_atom_site_fract_z
Sc1 Sc 0.250 0.250 0.161
Mn1 Mn 0.250 0.750 0.500
B1 B 0.250 0.250 0.704
```

Output
Its volume is 12.77 A^3/atom. The calculation puts the magnetization at 0.45 μB/atom. As for the density of states at the Fermi level: 0.71 states/eV/atom.

[4]
Entry from Alexandria: a relaxed ScMnB2 crystal (GGA-PBE).

```
data_ScMnB2
_chemical_formula_sum 'Sc4 Mn4 B8'
_cell_length_a 5.485
_cell_length_b 5.485
_cell_length_c 5.485
_cell_angle_alpha 90.00
_cell_angle_beta 90.00
_cell_angle_gamma 90.00
_symmetry_space_group_name_H-M 'F m -3 m'
_symmetry_Int_Tables_number 225
_symmetry_space_group_name_Hall '-F 4 2 3'
loop_
_atom_site_label
_atom_site_type_symbol
_atom_site_fract_x
_atom_site_fract_y
_atom_site_fract_z
Sc1 Sc 0.000 0.000 0.000
Mn1 Mn 0.000 0.000 0.500
B1 B 0.250 0.250 0.250
```

Output
Its volume is 10.31 A^3/atom. The calculation puts the magnetization at 0.37 μB/atom. As for the density of states at the Fermi level: 0.99 states/eV/atom.

[5]
Entry from Alexandria: a relaxed Sc3MnB7 crystal (GGA-PBE).

```
data_Sc3MnB7
_chemical_formula_sum 'Sc12 Mn4 B28'
_cell_length_a 3.257
_cell_length_b 14.862
_cell_length_c 8.940
_cell_angle_alpha 90.00
_cell_angle_beta 90.00
_cell_angle_gamma 90.00
_symmetry_space_group_name_H-M 'C m c m'
_symmetry_Int_Tables_number 63
_symmetry_space_group_name_Hall '-C 2c 2'
loop_
_atom_site_label
_atom_site_type_symbol
_atom_site_fract_x
_atom_site_fract_y
_atom_site_fract_z
Sc1 Sc 0.000 0.106 0.057
Sc2 Sc 0.000 0.243 0.750
Mn1 Mn 0.000 0.051 0.750
B1 B 0.000 0.272 0.032
B2 B 0.000 0.368 0.151
B3 B 0.000 0.449 0.750
B4 B 0.000 0.482 0.095
```

Output
Its volume is 9.83 A^3/atom. The calculation puts the magnetization at 0.03 μB/atom. As for the density of states at the Fermi level: 0.26 states/eV/atom.

[6]
Entry from Alexandria: a relaxed Sc2MnB crystal (GGA-PBE).

```
data_Sc2MnB
_chemical_formula_sum 'Sc6 Mn3 B3'
_cell_length_a 3.0495
_cell_length_b 3.0495
_cell_length_c 24.0794
_cell_angle_alpha 90.00
_cell_angle_beta 90.00
_cell_angle_gamma 120.00
_symmetry_space_group_name_H-M 'R -3 m'
_symmetry_Int_Tables_number 166
_symmetry_space_group_name_Hall '-R 3 2"'
loop_
_atom_site_label
_atom_site_type_symbol
_atom_site_fract_x
_atom_site_fract_y
_atom_site_fract_z
Sc1 Sc 0.0000 0.0000 0.0994
Mn1 Mn 0.0000 0.0000 0.0000
B1 B 0.0000 0.0000 0.5000
```

Output
Its volume is 16.16 A^3/atom. The calculation puts the magnetization at 0.00 μB/atom. As for the density of states at the Fermi level: 1.35 states/eV/atom.

Number 1: ΔE_f -0.355 eV/atom. Number 2: ΔE_f -0.126 eV/atom. Number 3: ΔE_f -0.365 eV/atom. Number 4: ΔE_f 0.157 eV/atom. Number 5: ΔE_f -0.789 eV/atom. Number 6: ΔE_f 0.611 eV/atom.